Density functional theory data (PBE) for a geometry-optimized SrSnBi structure.

The spin magnetization comes out at 0.00 μB per formula unit. The calculation puts the formation energy at -0.45 eV/atom. As for the volume: 423.46 Å³/cell. As for the energy above the most stable polymorph in this dataset: 19.2 kJ/mol of formula units.

It has space group Pnma (No. 62), with a = 8.944 Å, b = 4.689 Å, c = 10.097 Å, α = 90.00°, β = 90.00° and γ = 90.00°. The inequivalent atoms are Sr at (0.006, 0.250, 0.196), Sn at (0.221, 0.750, 0.396) and Bi at (0.207, 0.250, 0.590).